Computed, not measured: a geometry-optimized BaNaHfSn2 structure at the GGA-PBE level of DFT.

The value obtained for the polymorph energy (0 for the lowest one) is 1222 meV/atom. As for the formation energy: 1242 meV per atom.

Cell: 6.1889 6.1889 5.6399 Å, 90.00 90.00 90.00°
Atoms (fractional coordinates):
Ba: 0.0000 0.0000 0.0000
Na: 0.5000 0.5000 0.5000
Hf: 0.0000 0.0000 0.5000
Sn: 0.0000 0.5000 0.0000
Sn: 0.5000 0.0000 0.0000

Computed, not measured: a geometry-optimized BaNa2YHf structure at the GGA-PBE level of DFT.

As for the formation energy: 1521 meV per atom.

Cell: 5.7780 5.7780 6.1076 Å, 90.00 90.00 90.00°
Atoms (fractional coordinates):
Ba: 0.0000 0.0000 0.0000
Na: 0.0000 0.5000 0.5000
Na: 0.5000 0.0000 0.5000
Y: 0.0000 0.0000 0.5000
Hf: 0.5000 0.5000 0.0000

Computed, not measured: a geometry-optimized BaHf2Nb structure at the GGA-PBE level of DFT.

The value obtained for the polymorph energy (0 for the lowest one) is 522 meV/atom. As for the formation energy: 1336 meV per atom.

Cell: 10.0384 10.0384 10.0384 Å, 147.27 147.27 46.96°
Atoms (fractional coordinates):
Ba: 0.3750 0.6250 0.7500
Ba: 0.6250 0.3750 0.2500
Hf: 0.0000 0.0000 0.0000
Hf: 0.0000 0.0000 0.5000
Hf: 0.0000 0.5000 0.0000
Hf: 0.5000 0.0000 0.5000
Nb: 0.1250 0.8750 0.2500
Nb: 0.8750 0.1250 0.7500

Computed, not measured: a geometry-optimized Ba3HfNb structure at the GGA-PBE level of DFT.

As for the formation energy: 1756 meV per atom.

Cell: 6.1888 6.1888 6.1888 Å, 90.00 90.00 90.00°
Atoms (fractional coordinates):
Ba: 0.0000 0.0000 0.5000
Ba: 0.0000 0.5000 0.0000
Ba: 0.5000 0.0000 0.0000
Hf: 0.0000 0.0000 0.0000
Nb: 0.5000 0.5000 0.5000

Computed, not measured: a geometry-optimized BaHf2Nb structure at the GGA-PBE level of DFT.

The value obtained for the polymorph energy (0 for the lowest one) is 0 meV/atom. As for the formation energy: 814 meV per atom.

Cell: 5.1607 5.1607 5.1607 Å, 60.00 60.00 60.00°
Atoms (fractional coordinates):
Ba: 0.0000 0.0000 0.0000
Hf: 0.2500 0.2500 0.2500
Hf: 0.7500 0.7500 0.7500
Nb: 0.5000 0.5000 0.5000

Computed, not measured: a geometry-optimized BaHfNb3 structure at the GGA-PBE level of DFT.

The value obtained for the polymorph energy (0 for the lowest one) is 0 meV/atom. As for the formation energy: 1400 meV per atom.

Cell: 5.1629 5.1629 5.1629 Å, 90.00 90.00 90.00°
Atoms (fractional coordinates):
Ba: 0.0000 0.0000 0.0000
Hf: 0.5000 0.5000 0.5000
Nb: 0.0000 0.5000 0.5000
Nb: 0.5000 0.0000 0.5000
Nb: 0.5000 0.5000 0.0000

Computed, not measured: a geometry-optimized BaHfNbNi2 structure at the GGA-PBE level of DFT.

As for the formation energy: 764 meV per atom.

Cell: 4.9523 4.9523 4.9524 Å, 90.00 90.00 90.00°
Atoms (fractional coordinates):
Ba: 0.0000 0.0000 0.0000
Hf: 0.5000 0.5000 0.0000
Nb: 0.5000 0.5000 0.5000
Ni: 0.0000 0.5000 0.5000
Ni: 0.5000 0.0000 0.5000

Computed, not measured: a geometry-optimized BaHf2NbO8 structure at the GGA-PBE level of DFT.

The value obtained for the uncorrected formation energy is -2.8124 eV per atom.

Cell: 4.9653 4.9653 7.0609 Å, 90.00 90.00 91.73°
Atoms (fractional coordinates):
Ba: 0.0000 0.0000 0.0000
Hf: 0.5000 0.5000 0.2746
Hf: 0.5000 0.5000 0.7254
Nb: 0.0000 0.0000 0.5000
O: 0.2048 0.2048 0.3031
O: 0.2048 0.2048 0.6969
O: 0.3022 0.6978 0.5000
O: 0.3551 0.6449 0.0000
O: 0.6449 0.3551 0.0000
O: 0.6978 0.3022 0.5000
O: 0.7952 0.7952 0.3031
O: 0.7952 0.7952 0.6969

Computed, not measured: a geometry-optimized BaHfNb2O8 structure at the GGA-PBE level of DFT.

The value obtained for the uncorrected formation energy is -2.8271 eV per atom.

Cell: 8.0742 8.0742 8.0742 Å, 39.41 39.41 39.41°
Atoms (fractional coordinates):
Ba: 0.0000 0.0000 0.0000
Hf: 0.5000 0.5000 0.5000
Nb: 0.2381 0.2381 0.2381
Nb: 0.7619 0.7619 0.7619
O: 0.1309 0.4481 0.7613
O: 0.2387 0.8691 0.5519
O: 0.3192 0.3192 0.3192
O: 0.4481 0.7613 0.1309
O: 0.5519 0.2387 0.8691
O: 0.6808 0.6808 0.6808
O: 0.7613 0.1309 0.4481
O: 0.8691 0.5519 0.2387

Computed, not measured: a geometry-optimized BaHfNb2S8 structure at the GGA-PBE level of DFT.

The value obtained for the uncorrected formation energy is -1.1225 eV per atom.

Cell: 9.5752 9.5752 9.5752 Å, 38.72 38.72 38.72°
Atoms (fractional coordinates):
Ba: 0.0000 0.0000 0.0000
Hf: 0.5000 0.5000 0.5000
Nb: 0.2449 0.2449 0.2449
Nb: 0.7551 0.7551 0.7551
S: 0.1306 0.7765 0.4213
S: 0.2235 0.5787 0.8694
S: 0.3288 0.3288 0.3288
S: 0.4213 0.1306 0.7765
S: 0.5787 0.8694 0.2235
S: 0.6712 0.6712 0.6712
S: 0.7765 0.4213 0.1306
S: 0.8694 0.2235 0.5787

Computed, not measured: a geometry-optimized BaHfNb2Tl structure at the GGA-PBE level of DFT.

As for the formation energy: 992 meV per atom.

Cell: 5.1148 5.1148 5.7889 Å, 90.00 90.00 90.00°
Atoms (fractional coordinates):
Ba: 0.0000 0.0000 0.0000
Hf: 0.5000 0.5000 0.5000
Nb: 0.0000 0.5000 0.5000
Nb: 0.5000 0.0000 0.5000
Tl: 0.5000 0.5000 0.0000

Computed, not measured: a geometry-optimized BaNdHfO4 structure at the GGA-PBE level of DFT.

The value obtained for the uncorrected formation energy is -2.9709 eV per atom.

Cell: 7.2002 7.2002 7.2002 Å, 146.72 146.72 47.77°
Atoms (fractional coordinates):
Ba: 0.0000 0.0000 0.0000
Nd: 0.6924 0.6924 0.0000
Hf: 0.3474 0.3474 0.0000
O: 0.1915 0.1915 0.0000
O: 0.3427 0.8427 0.5000
O: 0.5159 0.5159 0.0000
O: 0.8427 0.3427 0.5000

Computed, not measured: a geometry-optimized Ba3NdHf2O9 structure at the GGA-PBE level of DFT.

The value obtained for the uncorrected formation energy is -3.0856 eV per atom.

Cell: 6.1258 6.1258 7.5669 Å, 90.00 90.00 120.00°
Atoms (fractional coordinates):
Ba: 0.0000 0.0000 0.0000
Ba: 0.3333 0.6667 0.6733
Ba: 0.6667 0.3333 0.3267
Nd: 0.0000 0.0000 0.5000
Hf: 0.3333 0.6667 0.1591
Hf: 0.6667 0.3333 0.8409
O: 0.0000 0.5000 0.0000
O: 0.1756 0.3512 0.3158
O: 0.1756 0.8244 0.3158
O: 0.3512 0.1756 0.6842
O: 0.5000 0.0000 0.0000
O: 0.5000 0.5000 0.0000
O: 0.6488 0.8244 0.3158
O: 0.8244 0.1756 0.6842
O: 0.8244 0.6488 0.6842

Computed, not measured: a geometry-optimized Ba2HfNi2 structure at the GGA-PBE level of DFT.

The value obtained for the polymorph energy (0 for the lowest one) is 0 meV/atom. As for the formation energy: 622 meV per atom.

Cell: 11.4525 11.4525 11.4525 Å, 162.64 162.64 24.64°
Atoms (fractional coordinates):
Ba: 0.1323 0.1323 0.0000
Ba: 0.8677 0.8677 0.0000
Hf: 0.5000 0.5000 0.0000
Ni: 0.2500 0.7500 0.5000
Ni: 0.7500 0.2500 0.5000

Computed, not measured: a geometry-optimized BaHf2Ni structure at the GGA-PBE level of DFT.

The value obtained for the polymorph energy (0 for the lowest one) is 0 meV/atom. As for the formation energy: 740 meV per atom.

Cell: 4.9296 4.9296 4.9296 Å, 60.00 60.00 60.00°
Atoms (fractional coordinates):
Ba: 0.0000 0.0000 0.0000
Hf: 0.2500 0.2500 0.2500
Hf: 0.7500 0.7500 0.7500
Ni: 0.5000 0.5000 0.5000

Computed, not measured: a geometry-optimized Ba2HfNi2 structure at the GGA-PBE level of DFT.

The value obtained for the polymorph energy (0 for the lowest one) is 127 meV/atom. As for the formation energy: 750 meV per atom.

Cell: 8.7597 8.7597 3.2428 Å, 90.00 90.00 90.00°
Atoms (fractional coordinates):
Ba: 0.1351 0.3649 0.0000
Ba: 0.3649 0.8649 0.0000
Ba: 0.6351 0.1351 0.0000
Ba: 0.8649 0.6351 0.0000
Hf: 0.0000 0.0000 0.0000
Hf: 0.5000 0.5000 0.0000
Ni: 0.1764 0.6764 0.5000
Ni: 0.3236 0.1764 0.5000
Ni: 0.6764 0.8236 0.5000
Ni: 0.8236 0.3236 0.5000

Computed, not measured: a geometry-optimized BaHf2Ni structure at the GGA-PBE level of DFT.

The value obtained for the polymorph energy (0 for the lowest one) is 78 meV/atom. As for the formation energy: 818 meV per atom.

Cell: 9.1061 9.1061 9.1061 Å, 143.23 143.23 52.98°
Atoms (fractional coordinates):
Ba: 0.3750 0.6250 0.7500
Ba: 0.6250 0.3750 0.2500
Hf: 0.0000 0.0000 0.0000
Hf: 0.0000 0.0000 0.5000
Hf: 0.0000 0.5000 0.0000
Hf: 0.5000 0.0000 0.5000
Ni: 0.1250 0.8750 0.2500
Ni: 0.8750 0.1250 0.7500

Computed, not measured: a geometry-optimized BaHf3Ni structure at the GGA-PBE level of DFT.

The value obtained for the polymorph energy (0 for the lowest one) is 0 meV/atom. As for the formation energy: 380 meV per atom.

Cell: 5.0232 5.0232 5.0232 Å, 90.00 90.00 90.00°
Atoms (fractional coordinates):
Ba: 0.0000 0.0000 0.0000
Hf: 0.0000 0.5000 0.5000
Hf: 0.5000 0.0000 0.5000
Hf: 0.5000 0.5000 0.0000
Ni: 0.5000 0.5000 0.5000

Computed, not measured: a geometry-optimized BaHf3Ni structure at the GGA-PBE level of DFT.

The value obtained for the polymorph energy (0 for the lowest one) is 2033 meV/atom. As for the formation energy: 2414 meV per atom.

Cell: 5.2131 5.2131 5.2131 Å, 90.00 90.00 90.00°
Atoms (fractional coordinates):
Ba: 0.0000 0.0000 0.0000
Hf: 0.0000 0.0000 0.5000
Hf: 0.0000 0.5000 0.0000
Hf: 0.5000 0.0000 0.0000
Ni: 0.5000 0.5000 0.5000

Computed, not measured: a geometry-optimized BaHfReNi2 structure at the GGA-PBE level of DFT.

As for the formation energy: 691 meV per atom.

Cell: 4.8835 4.8835 4.8718 Å, 90.00 90.00 90.00°
Atoms (fractional coordinates):
Ba: 0.0000 0.0000 0.0000
Hf: 0.5000 0.5000 0.0000
Re: 0.5000 0.5000 0.5000
Ni: 0.0000 0.5000 0.5000
Ni: 0.5000 0.0000 0.5000

Computed, not measured: a geometry-optimized BaHfNiS3 structure at the GGA-PBE level of DFT.

The value obtained for the uncorrected formation energy is -1.4870 eV per atom.

Cell: 8.2082 3.7962 8.8587 Å, 90.00 109.53 90.00°
Atoms (fractional coordinates):
Ba: 0.2138 0.2500 0.2557
Ba: 0.7862 0.7500 0.7443
Hf: 0.3076 0.7500 0.8296
Hf: 0.6924 0.2500 0.1704
Ni: 0.0937 0.2500 0.6056
Ni: 0.9063 0.7500 0.3944
S: 0.1122 0.2500 0.8658
S: 0.2117 0.7500 0.5352
S: 0.4623 0.7500 0.1489
S: 0.5377 0.2500 0.8511
S: 0.7883 0.2500 0.4648
S: 0.8878 0.7500 0.1342

Computed, not measured: a geometry-optimized BaHfNiS4 structure at the GGA-PBE level of DFT.

The value obtained for the uncorrected formation energy is -1.2353 eV per atom.

Cell: 6.2709 5.7797 8.5769 Å, 90.00 108.71 90.00°
Atoms (fractional coordinates):
Ba: 0.2403 0.2500 0.0535
Ba: 0.7597 0.7500 0.9465
Hf: 0.2610 0.2500 0.5575
Hf: 0.7390 0.7500 0.4425
Ni: 0.2490 0.7500 0.3303
Ni: 0.7510 0.2500 0.6697
S: 0.0166 0.5076 0.6944
S: 0.0166 0.9924 0.6944
S: 0.4366 0.7500 0.1514
S: 0.4442 0.7500 0.5911
S: 0.5558 0.2500 0.4089
S: 0.5634 0.2500 0.8486
S: 0.9834 0.0076 0.3056
S: 0.9834 0.4924 0.3056

Computed, not measured: a geometry-optimized Ba2HfNiS5 structure at the GGA-PBE level of DFT.

The value obtained for the uncorrected formation energy is -1.4831 eV per atom.

Cell: 9.1501 9.1501 12.7643 Å, 90.00 90.00 155.06°
Atoms (fractional coordinates):
Ba: 0.1211 0.8789 0.5000
Ba: 0.1232 0.8768 0.8652
Ba: 0.8768 0.1232 0.3652
Ba: 0.8789 0.1211 0.0000
Hf: 0.1961 0.8039 0.1911
Hf: 0.8039 0.1961 0.6911
Ni: 0.4308 0.5692 0.6042
Ni: 0.5692 0.4308 0.1042
S: 0.0524 0.9476 0.1847
S: 0.3022 0.6978 0.8243
S: 0.3061 0.6939 0.5542
S: 0.3359 0.6641 0.1826
S: 0.4938 0.5062 0.4528
S: 0.5062 0.4938 0.9528
S: 0.6641 0.3359 0.6826
S: 0.6939 0.3061 0.0542
S: 0.6978 0.3022 0.3243
S: 0.9476 0.0524 0.6847

Computed, not measured: a geometry-optimized BaHfNiW2 structure at the GGA-PBE level of DFT.

As for the formation energy: 2377 meV per atom.

Cell: 4.8674 4.8674 6.0755 Å, 90.00 90.00 90.00°
Atoms (fractional coordinates):
Ba: 0.0000 0.0000 0.0000
Hf: 0.0000 0.0000 0.5000
Ni: 0.5000 0.5000 0.0000
W: 0.0000 0.5000 0.5000
W: 0.5000 0.0000 0.5000

Computed, not measured: a geometry-optimized BaHfZnNi2 structure at the GGA-PBE level of DFT.

As for the formation energy: 1626 meV per atom.

Cell: 4.7525 4.7525 5.2132 Å, 90.00 90.00 90.00°
Atoms (fractional coordinates):
Ba: 0.0000 0.0000 0.0000
Hf: 0.5000 0.5000 0.5000
Zn: 0.0000 0.0000 0.5000
Ni: 0.0000 0.5000 0.0000
Ni: 0.5000 0.0000 0.0000